HgGe4I8 after structural relaxation, computed with PBE-GGA.

Properties
SG: C2/m (12)
N(E_F) in states/eV/f.u.: 0.0
Final energy in eV for the cell shown: -34.9
Formation energy (no corrections) in eV/atom: -0.29
Size of the total moment in μB per atom: 0.000

abc: 8.5828 8.5828 12.4335
angles: 58.81 58.81 59.99
Last column: nearest neighbours and their distance in Å.
Element x y z (fractional)
I  0.9958  0.9958  0.1756  3 Ge 3.03-3.04
I  0.5048  0.0036  0.8245  3 Ge 3.03-3.04
I  0.0036  0.5048  0.8245  3 Ge 3.03-3.04
I  0.9964  0.4952  0.1755  3 Ge 3.03-3.04
I  0.0042  0.0042  0.8244  3 Ge 3.03-3.04
I  0.4952  0.9964  0.1755  3 Ge 3.03-3.04
I  0.5053  0.5053  0.8240  3 Ge 3.03-3.04
I  0.4947  0.4947  0.1760  3 Ge 3.03-3.04
Ge  0.7501  0.7501  0.9996  6 I 3.03-3.04
Ge  0.2499  0.2499  0.0004  6 I 3.03-3.04
Ge  0.7493  0.2507  0.0000  6 I 3.03-3.04
Ge  0.2507  0.7493  0.0000  6 I 3.03-3.04
Hg  0.5000  0.5000  0.5000  6 I 4.08

MgH2 after structural relaxation, computed with PBE-GGA.

Properties
SG: Pbca (61)
N(E_F) in states/eV/f.u.: 0.0
Final energy in eV for the cell shown: -70.3
Size of the total moment in μB per atom: 0.000

abc: 4.7221 4.8762 9.2559
angles: 90.00 90.00 90.00
Last column: nearest neighbours and their distance in Å.
Element x y z (fractional)
Mg  0.7718  0.0301  0.1166  6 H 1.90-2.09
Mg  0.2282  0.4699  0.6166  6 H 1.90-2.09
Mg  0.7282  0.0301  0.6166  6 H 1.90-2.09
Mg  0.2282  0.9699  0.8834  6 H 1.90-2.09
Mg  0.2718  0.9699  0.3834  6 H 1.90-2.09
Mg  0.2718  0.4699  0.1166  6 H 1.90-2.09
Mg  0.7282  0.5301  0.8834  6 H 1.90-2.09
Mg  0.7718  0.5301  0.3834  6 H 1.90-2.09
H  0.9896  0.2583  0.9733  4 Mg 1.99-2.14
H  0.5104  0.7583  0.0267  4 Mg 1.99-2.14
H  0.0104  0.2417  0.4733  4 Mg 1.99-2.14
H  0.4896  0.2417  0.9733  4 Mg 1.99-2.14
H  0.5104  0.2583  0.4733  4 Mg 1.99-2.14
H  0.6731  0.8848  0.3000  3 Mg 1.90-2.09
H  0.3269  0.6152  0.8000  3 Mg 1.90-2.09
H  0.9896  0.7583  0.5267  4 Mg 1.99-2.14
H  0.3269  0.1152  0.7000  3 Mg 1.90-2.09
H  0.6731  0.3848  0.2000  3 Mg 1.90-2.09
H  0.1731  0.1152  0.2000  3 Mg 1.90-2.09
H  0.8269  0.8848  0.8000  3 Mg 1.90-2.09
H  0.4896  0.7417  0.5267  4 Mg 1.99-2.14
H  0.8269  0.3848  0.7000  3 Mg 1.90-2.09
H  0.1731  0.6152  0.3000  3 Mg 1.90-2.09
H  0.0104  0.7417  0.0267  4 Mg 1.99-2.14

CuAu2Br after structural relaxation, computed with PBE-GGA.

Properties
SG: P4/mmm (123)
Energy relative to the lowest polymorph listed for this composition in eV/atom: 0.130
N(E_F) in states/eV/f.u.: 0.6
Final energy in eV for the cell shown: -11.6
Formation energy (no corrections) in eV/atom: 0.19
Size of the total moment in μB per atom: 0.000

abc: 3.3447 3.3427 6.8362
angles: 90.00 90.00 90.00
Last column: nearest neighbours and their distance in Å.
Element x y z (fractional)
Au  0.0000  0.0000  0.5502  4 Cu 2.73, 1 Au 2.73
Au  0.0000  0.0000  0.9498  4 Cu 2.73, 1 Au 2.73
Br  0.5000  0.5000  0.2500  8 Au 3.13, 4 Br 3.34, 2 Cu 3.42
Cu  0.5000  0.5000  0.7500  8 Au 2.73

Ho3Cd2Ga after structural relaxation, computed with PBE-GGA.

Properties
SG: P4/mmm (123)
Energy relative to the lowest polymorph listed for this composition in eV/atom: 0.000
Calculated formation energy in eV/atom: -0.40
N(E_F) in states/eV/f.u.: 5.8
Final energy in eV for the cell shown: -21.0
Size of the total moment in μB per atom: 0.000

abc: 3.6450 3.6450 11.1508
angles: 90.00 90.00 90.00
Last column: nearest neighbours and their distance in Å.
Element x y z (fractional)
Ho  0.0000  0.0000  0.3460  4 Ga 3.10, 4 Cd 3.24, 1 Ho 3.44
Ho  0.0000  0.0000  0.0000  8 Cd 3.20
Ho  0.0000  0.0000  0.6540  4 Ga 3.10, 4 Cd 3.24, 1 Ho 3.44
Cd  0.5000  0.5000  0.8297  8 Ho 3.20-3.24
Cd  0.5000  0.5000  0.1703  8 Ho 3.20-3.24
Ga  0.5000  0.5000  0.5000  8 Ho 3.10

YZr3 after structural relaxation, computed with PBE-GGA.

Properties
SG: Pmmn (59)
Energy relative to the lowest polymorph listed for this composition in eV/atom: 0.000
Calculated formation energy in eV/atom: 0.05
N(E_F) in states/eV/f.u.: 4.2
Final energy in eV for the cell shown: -63.8
Size of the total moment in μB per atom: 0.000

abc: 6.6503 5.2311 5.7877
angles: 90.00 90.00 90.00
Last column: nearest neighbours and their distance in Å.
Element x y z (fractional)
Zr  0.0000  0.5000  0.3118  8 Zr 3.21-3.50, 4 Y 3.29-3.33
Zr  0.2452  0.0000  0.1594  8 Zr 3.20-3.50, 4 Y 3.29-3.33
Zr  0.7452  0.5000  0.8406  8 Zr 3.20-3.50, 4 Y 3.29-3.33
Zr  0.2548  0.5000  0.8406  8 Zr 3.20-3.50, 4 Y 3.29-3.33
Zr  0.7548  0.0000  0.1594  8 Zr 3.20-3.50, 4 Y 3.29-3.33
Zr  0.5000  0.0000  0.6882  8 Zr 3.21-3.50, 4 Y 3.29-3.33
Y  0.5000  0.5000  0.3429  12 Zr 3.29-3.33
Y  0.0000  0.0000  0.6571  12 Zr 3.29-3.33

BSeBrN2 after structural relaxation, computed with PBE-GGA.

Properties
SG: P4/mmm (123)
Energy relative to the lowest polymorph listed for this composition in eV/atom: 1.070
N(E_F) in states/eV/f.u.: 3.3
Final energy in eV for the cell shown: -15.2
Formation energy (no corrections) in eV/atom: 2.65
Size of the total moment in μB per atom: 0.125

abc: 3.6391 3.6391 7.9082
angles: 90.00 90.00 90.00
Last column: nearest neighbours and their distance in Å.
Element x y z (fractional)
Se  0.0000  0.0000  0.5000  4 B 2.57
Br  0.0000  0.0000  0.0000  4 N 1.82
N  0.0000  0.5000  0.0000  2 Br 1.82
N  0.5000  0.0000  0.0000  2 Br 1.82
B  0.5000  0.5000  0.5000  4 Se 2.57